First-principles (PBE) data for a relaxed structure of Mo2Au, as listed in the Alexandria database.

Lattice parameters (Å, degrees): 10.648 2.785 6.860 90.00 105.39 90.00
Space group Cm (No. 8)
Unique sites:
Mo 0.000 0.000 0.000
Mo 0.056 0.000 0.630
Mo 0.228 0.500 0.962
Mo 0.390 0.000 0.286
Au 0.164 0.500 0.337
Au 0.332 0.000 0.678

Output
ΔE_f ... 0.27 eV/atom
Energy relative to the lowest polymorph listed for this composition ... 0.17 eV/f.u.